First-principles (PBE-GGA) data for a relaxed CuAg2 crystal, as listed in the Open Quantum Materials Database.

The structure in POSCAR format:
```
CuAg2
1.0
2.013 -6.014 0.000
2.013 6.014 0.000
0.000 0.000 3.958
Cu Ag
2 4
direct
0.171 0.829 0.000
0.829 0.171 0.000
0.000 0.000 0.500
0.329 0.671 0.500
0.500 0.500 0.000
0.671 0.329 0.500
```

## Properties
Energy of formation (eV per atom): 0.0850
Raw total energy (eV for the cell shown): -18.22